[1]
Entry from Alexandria via LeMat-Bulk: a geometry-optimized KInHgSe structure (PBE-GGA).

Lattice parameters (Å, degrees): 5.520 5.520 5.520 60.00 60.00 60.00
Atoms (fractional coordinates):
In  0.000  0.000  0.000
Se  0.250  0.250  0.250
Hg  0.750  0.750  0.750
K  0.500  0.500  0.500

The theoretical density comes out at 6.053 g/cm³. As for the volume: 118.9 Å³ per cell. As for the space-group type: F-43m. Its total magnetic moment is 0.00 μB per formula unit. As for the uncorrected formation energy: -454 meV per atom.



[2]
Entry from Alexandria via LeMat-Bulk: a geometry-optimized K2InSiHg structure (PBE-GGA).

Lattice parameters (Å, degrees): 6.272 5.537 6.272 90.00 90.00 90.00
Atoms (fractional coordinates):
Si  0.500  0.500  0.500
K  0.500  0.000  0.000
In  0.000  0.500  0.000
Hg  0.000  0.000  0.000
K  0.000  0.000  0.500

The theoretical density comes out at 3.215 g/cm³. As for the volume: 217.8 Å³ per cell. As for the space-group type: P4/mmm. Its total magnetic moment is 1.10 μB per formula unit. As for the uncorrected formation energy: 516 meV per atom.



[3]
Entry from Alexandria via LeMat-Bulk: a geometry-optimized K2InSn4Hg3 structure (PBE-GGA).

Lattice parameters (Å, degrees): 4.900 4.900 12.791 90.00 90.00 90.00
Atoms (fractional coordinates):
K  0.000  0.500  0.750
In  0.500  0.500  0.500
Hg  0.000  0.500  0.143
Sn  0.000  0.500  0.365
Sn  0.000  0.000  0.000
Hg  0.000  0.000  0.500
Hg  0.500  0.000  0.857
Sn  0.500  0.500  0.000
K  0.500  0.000  0.250
Sn  0.500  0.000  0.635

The theoretical density comes out at 6.866 g/cm³. As for the volume: 307.1 Å³ per cell. The value obtained for the energy of formation from the pure elements is -158 meV/atom. As for the space-group type: P-4m2. Its total magnetic moment is 0.00 μB per formula unit.



[4]
Entry from Alexandria via LeMat-Bulk: a geometry-optimized K2In4Sn3Hg structure (PBE-GGA).

Lattice parameters (Å, degrees): 5.135 5.135 12.148 90.00 90.00 90.00
Atoms (fractional coordinates):
In  0.000  0.500  0.372
Sn  0.000  0.000  0.500
In  0.000  0.000  0.000
Hg  0.500  0.500  0.500
Sn  0.500  0.000  0.868
In  0.500  0.500  0.000
Sn  0.000  0.500  0.132
K  0.500  0.000  0.254
K  0.000  0.500  0.746
In  0.500  0.000  0.628

The theoretical density comes out at 5.673 g/cm³. As for the volume: 320.3 Å³ per cell. The value obtained for the energy of formation from the pure elements is -160 meV/atom. As for the space-group type: P-4m2. Its total magnetic moment is 0.00 μB per formula unit.



[5]
Entry from Alexandria via LeMat-Bulk: a geometry-optimized KInSn2Hg structure (PBE-GGA).

Lattice parameters (Å, degrees): 4.902 5.128 7.200 110.86 109.90 90.00
Atoms (fractional coordinates):
Sn  0.697  0.197  0.394
In  0.192  0.692  0.385
Hg  0.828  0.828  0.656
K  0.439  0.439  0.877
Sn  0.056  0.056  0.112

The theoretical density comes out at 6.242 g/cm³. As for the volume: 157.5 Å³ per cell. The value obtained for the energy of formation from the pure elements is -166 meV/atom. As for the space-group type: Imm2. Its total magnetic moment is 0.00 μB per formula unit.



[6]
Entry from Alexandria via LeMat-Bulk: a geometry-optimized K2In4SnHg3 structure (PBE-GGA).

Lattice parameters (Å, degrees): 4.962 4.962 12.550 90.00 90.00 90.00
Atoms (fractional coordinates):
K  0.500  0.000  0.251
In  0.500  0.000  0.635
In  0.000  0.000  0.000
In  0.500  0.500  0.000
Hg  0.000  0.000  0.500
Hg  0.000  0.500  0.136
Sn  0.500  0.500  0.500
In  0.000  0.500  0.365
K  0.000  0.500  0.749
Hg  0.500  0.000  0.864

The theoretical density comes out at 6.761 g/cm³. As for the volume: 309.0 Å³ per cell. The value obtained for the energy of formation from the pure elements is -144 meV/atom. As for the space-group type: P-4m2. Its total magnetic moment is 0.00 μB per formula unit.



[7]
Entry from Alexandria via LeMat-Bulk: a geometry-optimized KIn2HgTe structure (PBE-GGA).

Lattice parameters (Å, degrees): 5.554 6.083 5.554 90.00 90.00 90.00
Atoms (fractional coordinates):
Hg  0.000  0.000  0.000
In  0.500  0.000  0.000
In  0.000  0.000  0.500
Te  0.500  0.500  0.500
K  0.000  0.500  0.000

The theoretical density comes out at 5.283 g/cm³. As for the volume: 187.6 Å³ per cell. As for the space-group type: P4/mmm. Its total magnetic moment is 0.00 μB per formula unit. As for the uncorrected formation energy: -25 meV per atom.



[8]
Entry from Alexandria via LeMat-Bulk: a geometry-optimized KInHgTe structure (PBE-GGA).

Lattice parameters (Å, degrees): 5.749 5.749 5.749 60.00 60.00 60.00
Atoms (fractional coordinates):
K  0.000  0.000  0.000
In  0.500  0.500  0.500
Hg  0.750  0.750  0.750
Te  0.250  0.250  0.250

The theoretical density comes out at 5.957 g/cm³. As for the volume: 134.4 Å³ per cell. As for the space-group type: F-43m. Its total magnetic moment is 0.00 μB per formula unit. As for the uncorrected formation energy: -423 meV per atom.



[9]
Entry from Alexandria via LeMat-Bulk: a geometry-optimized KTl4InHg2 structure (PBE-GGA).

Lattice parameters (Å, degrees): 5.294 5.294 9.669 90.00 90.00 90.00
Atoms (fractional coordinates):
Tl  0.500  0.000  0.821
K  0.000  0.000  0.500
In  0.000  0.000  0.000
Tl  0.000  0.500  0.821
Hg  0.500  0.500  0.350
Tl  0.000  0.500  0.179
Tl  0.500  0.000  0.179
Hg  0.500  0.500  0.650

The theoretical density comes out at 8.411 g/cm³. As for the volume: 271.0 Å³ per cell. The value obtained for the energy of formation from the pure elements is -64 meV/atom. As for the space-group type: P4/mmm. Its total magnetic moment is 0.00 μB per formula unit.



[10]
Entry from Alexandria via LeMat-Bulk: a geometry-optimized K2Tl12In3Hg structure (PBE-GGA).

Lattice parameters (Å, degrees): 12.301 12.301 12.301 38.35 38.35 38.35
Atoms (fractional coordinates):
In  0.500  0.000  0.000
Tl  0.360  0.923  0.923
K  0.352  0.352  0.352
Tl  0.416  0.818  0.416
Tl  0.077  0.640  0.077
Tl  0.077  0.077  0.640
Hg  0.000  0.000  0.000
In  0.000  0.000  0.500
Tl  0.923  0.923  0.360
Tl  0.818  0.416  0.416
Tl  0.416  0.416  0.818
K  0.648  0.648  0.648
Tl  0.584  0.584  0.182
Tl  0.640  0.077  0.077
Tl  0.182  0.584  0.584
Tl  0.584  0.182  0.584
Tl  0.923  0.360  0.923
In  0.000  0.500  0.000

The theoretical density comes out at 7.936 g/cm³. As for the volume: 643.6 Å³ per cell. The value obtained for the energy of formation from the pure elements is 63 meV/atom. As for the space-group type: R-3m. Its total magnetic moment is 0.00 μB per formula unit.



[11]
Entry from Alexandria via LeMat-Bulk: a geometry-optimized KTl2In2Hg structure (PBE-GGA).

Lattice parameters (Å, degrees): 5.693 5.693 6.728 90.00 90.00 90.00
Atoms (fractional coordinates):
In  0.000  0.500  0.000
In  0.500  0.000  0.000
K  0.000  0.000  0.500
Tl  0.500  0.500  0.260
Tl  0.500  0.500  0.740
Hg  0.000  0.000  0.000

The theoretical density comes out at 6.687 g/cm³. As for the volume: 218.1 Å³ per cell. The value obtained for the energy of formation from the pure elements is -3 meV/atom. As for the space-group type: P4/mmm. Its total magnetic moment is 0.00 μB per formula unit.



[12]
Entry from Alexandria via LeMat-Bulk: a geometry-optimized KTlIn2Hg2 structure (PBE-GGA).

Lattice parameters (Å, degrees): 5.215 5.215 7.905 90.00 90.00 120.00
Atoms (fractional coordinates):
In  0.333  0.667  0.687
Hg  0.333  0.667  0.261
K  0.000  0.000  0.000
In  0.667  0.333  0.313
Tl  0.000  0.000  0.500
Hg  0.667  0.333  0.739

The theoretical density comes out at 7.798 g/cm³. As for the volume: 186.2 Å³ per cell. The value obtained for the energy of formation from the pure elements is -117 meV/atom. As for the space-group type: P-3m1. Its total magnetic moment is 0.00 μB per formula unit.



[13]
Entry from Alexandria via LeMat-Bulk: a geometry-optimized K2TlIn4Hg3 structure (PBE-GGA).

Lattice parameters (Å, degrees): 4.978 4.978 12.594 90.00 90.00 90.00
Atoms (fractional coordinates):
Hg  0.000  0.500  0.136
Tl  0.500  0.500  0.500
K  0.000  0.500  0.750
In  0.500  0.000  0.637
K  0.500  0.000  0.250
In  0.500  0.500  0.000
Hg  0.500  0.000  0.864
In  0.000  0.000  0.000
Hg  0.000  0.000  0.500
In  0.000  0.500  0.363

The theoretical density comes out at 7.149 g/cm³. As for the volume: 312.1 Å³ per cell. The value obtained for the energy of formation from the pure elements is -122 meV/atom. As for the space-group type: P-4m2. Its total magnetic moment is 0.00 μB per formula unit.



[14]
Entry from Alexandria via LeMat-Bulk: a geometry-optimized K2TlIn3Hg12 structure (PBE-GGA).

Lattice parameters (Å, degrees): 14.319 14.319 14.319 27.56 27.56 27.56
Atoms (fractional coordinates):
Hg  0.115  0.599  0.115
Hg  0.404  0.854  0.404
Hg  0.885  0.885  0.401
Tl  0.000  0.000  0.000
Hg  0.401  0.885  0.885
K  0.359  0.359  0.359
In  0.500  0.000  0.000
Hg  0.596  0.146  0.596
Hg  0.146  0.596  0.596
K  0.641  0.641  0.641
Hg  0.854  0.404  0.404
Hg  0.404  0.404  0.854
In  0.000  0.000  0.500
In  0.000  0.500  0.000
Hg  0.115  0.115  0.599
Hg  0.599  0.115  0.115
Hg  0.596  0.596  0.146
Hg  0.885  0.401  0.885

The theoretical density comes out at 9.079 g/cm³. As for the volume: 554.9 Å³ per cell. The value obtained for the energy of formation from the pure elements is -61 meV/atom. As for the space-group type: R-3m. Its total magnetic moment is 0.00 μB per formula unit.



[15]
Entry from Alexandria via LeMat-Bulk: a geometry-optimized K2Tl6InHg structure (PBE-GGA).

Lattice parameters (Å, degrees): 8.054 8.054 14.197 73.52 73.52 60.00
Atoms (fractional coordinates):
K  0.720  0.720  0.839
K  0.104  0.104  0.688
In  0.500  0.500  0.500
In  0.000  0.000  0.000
Tl  0.335  0.335  0.404
Tl  0.228  0.631  0.914
Tl  0.927  0.335  0.404
Tl  0.369  0.772  0.086
Tl  0.665  0.665  0.596
Tl  0.073  0.665  0.596
K  0.280  0.280  0.161
Tl  0.665  0.073  0.596
Tl  0.335  0.927  0.404
Tl  0.631  0.228  0.914
K  0.896  0.896  0.312
Tl  0.772  0.369  0.086
Tl  0.228  0.228  0.914
Hg  0.426  0.426  0.723
Tl  0.772  0.772  0.086
Hg  0.574  0.574  0.277

The theoretical density comes out at 7.140 g/cm³. As for the volume: 753.5 Å³ per cell. The value obtained for the energy of formation from the pure elements is 20 meV/atom. As for the space-group type: R-3m. Its total magnetic moment is 0.00 μB per formula unit.



[16]
Entry from Alexandria via LeMat-Bulk: a geometry-optimized K2TlIn3Hg4 structure (PBE-GGA).

Lattice parameters (Å, degrees): 4.997 4.997 12.565 90.00 90.00 90.00
Atoms (fractional coordinates):
Hg  0.500  0.000  0.644
In  0.000  0.000  0.500
Hg  0.500  0.500  0.000
In  0.500  0.000  0.873
K  0.500  0.000  0.244
Hg  0.000  0.500  0.356
Tl  0.500  0.500  0.500
Hg  0.000  0.000  0.000
In  0.000  0.500  0.127
K  0.000  0.500  0.756

The theoretical density comes out at 7.566 g/cm³. As for the volume: 313.7 Å³ per cell. The value obtained for the energy of formation from the pure elements is -127 meV/atom. As for the space-group type: P-4m2. Its total magnetic moment is 0.00 μB per formula unit.



[17]
Entry from Alexandria via LeMat-Bulk: a geometry-optimized KTlIn2Hg structure (PBE-GGA).

Lattice parameters (Å, degrees): 5.035 4.874 7.416 109.18 109.85 90.00
Atoms (fractional coordinates):
In  0.689  0.189  0.377
K  0.436  0.436  0.872
Hg  0.835  0.835  0.670
In  0.054  0.054  0.109
Tl  0.198  0.698  0.396

The theoretical density comes out at 6.973 g/cm³. As for the volume: 160.4 Å³ per cell. The value obtained for the energy of formation from the pure elements is -116 meV/atom. As for the space-group type: Imm2. Its total magnetic moment is 0.00 μB per formula unit.



[18]
Entry from Alexandria via LeMat-Bulk: a geometry-optimized KTl2In2Hg2 structure (PBE-GGA).

Lattice parameters (Å, degrees): 5.170 5.170 10.007 75.03 75.03 60.00
Atoms (fractional coordinates):
Tl  0.143  0.143  0.571
In  0.567  0.567  0.299
Hg  0.734  0.734  0.798
K  0.000  0.000  0.000
In  0.433  0.433  0.701
Tl  0.857  0.857  0.429
Hg  0.266  0.266  0.202

The theoretical density comes out at 8.100 g/cm³. As for the volume: 221.1 Å³ per cell. The value obtained for the energy of formation from the pure elements is -90 meV/atom. As for the space-group type: R-3m. Its total magnetic moment is 0.00 μB per formula unit.



[19]
Entry from Alexandria via LeMat-Bulk: a geometry-optimized KVIn2Hg structure (PBE-GGA).

Lattice parameters (Å, degrees): 5.508 5.914 5.508 90.00 90.00 90.00
Atoms (fractional coordinates):
In  0.000  0.000  0.500
Hg  0.000  0.000  0.000
V  0.500  0.500  0.500
K  0.000  0.500  0.000
In  0.500  0.000  0.000

The theoretical density comes out at 4.815 g/cm³. As for the volume: 179.4 Å³ per cell. The value obtained for the energy of formation from the pure elements is 1121 meV/atom. As for the space-group type: P4/mmm. Its total magnetic moment is 0.13 μB per formula unit.



[20]
Entry from Alexandria via LeMat-Bulk: a geometry-optimized KInHg2W structure (PBE-GGA).

Lattice parameters (Å, degrees): 5.591 6.426 5.591 90.00 90.00 90.00
Atoms (fractional coordinates):
K  0.000  0.500  0.000
Hg  0.500  0.000  0.000
In  0.000  0.000  0.000
W  0.500  0.500  0.500
Hg  0.000  0.000  0.500

The theoretical density comes out at 6.108 g/cm³. As for the volume: 200.9 Å³ per cell. The value obtained for the energy of formation from the pure elements is 1457 meV/atom. As for the space-group type: P4/mmm. Its total magnetic moment is 5.12 μB per formula unit.